(1)
Computed, not measured: a relaxed YTc2Ru crystal at the PBE level of DFT.

Summary:
Its distance to the lowest polymorph of the same formula is 0.61 eV per formula unit. As for the formation enthalpy at 0 K: 0.284 eV per atom. The final energy comes out at -8.834 eV/atom.

a = 2.9339 Å, b = 3.5886 Å, c = 6.7348 Å
α = 90.00°, β = 90.00°, γ = 90.00°
Space group Pmmm (No. 47)
Unique sites:
Y (0.0000, 0.0000, 0.0000) (multiplicity 1)
Tc (0.5000, 0.5000, 0.3080) (multiplicity 2)
Ru (0.0000, 0.0000, 0.5000) (multiplicity 1)

---

(2)
Computed, not measured: a relaxed YTc2Ru crystal at the PBE level of DFT.

Summary:
Its distance to the lowest polymorph of the same formula is 1.15 eV per formula unit. As for the formation enthalpy at 0 K: 0.418 eV per atom. The final energy comes out at -8.700 eV/atom.

a = 2.9201 Å, b = 2.9201 Å, c = 27.5024 Å
α = 90.00°, β = 90.00°, γ = 120.00°
Space group R3m (No. 160, hexagonal axes)
Unique sites:
Y (0.0000, 0.0000, 0.0000) (multiplicity 3)
Tc (0.0000, 0.0000, 0.2407) (multiplicity 3)
Tc (0.0000, 0.0000, 0.4993) (multiplicity 3)
Ru (0.0000, 0.0000, 0.7571) (multiplicity 3)

---

(3)
Computed, not measured: a relaxed YTc2Ru crystal at the PBE level of DFT.

Summary:
Its distance to the lowest polymorph of the same formula is 0.34 eV per formula unit. As for the formation enthalpy at 0 K: 0.215 eV per atom. The final energy comes out at -8.903 eV/atom.

a = 3.1541 Å, b = 4.7841 Å, c = 9.1360 Å
α = 90.00°, β = 90.00°, γ = 90.00°
Space group Imm2 (No. 44)
Unique sites:
Y (0.0000, 0.0000, 0.0000) (multiplicity 2)
Tc (0.0000, 0.0000, 0.5034) (multiplicity 2)
Tc (0.0000, 0.5000, 0.2211) (multiplicity 2)
Ru (0.0000, 0.5000, 0.7742) (multiplicity 2)

---

(4)
Computed, not measured: a relaxed YTc2Ru crystal at the PBE level of DFT.

Summary:
Its distance to the lowest polymorph of the same formula is 0.29 eV per formula unit. As for the formation enthalpy at 0 K: 0.202 eV per atom. The final energy comes out at -8.916 eV/atom.

a = 9.8436 Å, b = 3.1282 Å, c = 4.9162 Å
α = 90.00°, β = 112.05°, γ = 90.00°
Space group Cm (No. 8)
Unique sites:
Y (0.0000, 0.0000, 0.0000) (multiplicity 2)
Tc (0.0014, 0.5000, 0.4927) (multiplicity 2)
Tc (0.2190, 0.0000, 0.7082) (multiplicity 2)
Ru (0.2745, 0.5000, 0.3217) (multiplicity 2)

---

(5)
Computed, not measured: a relaxed Y2Tc3Ru crystal at the PBE level of DFT.

Summary:
As for the formation enthalpy at 0 K: -0.192 eV per atom. The final energy comes out at -9.076 eV/atom.

a = 9.0962 Å, b = 5.2582 Å, c = 5.5524 Å
α = 90.00°, β = 123.29°, γ = 90.00°
Space group C2/m (No. 12)
Unique sites:
Y (0.1250, 0.0000, 0.3749) (multiplicity 4)
Tc (0.0000, 0.5000, 0.0000) (multiplicity 2)
Tc (0.2500, 0.2500, 0.0000) (multiplicity 4)
Ru (0.0000, 0.5000, 0.5000) (multiplicity 2)

---

(6)
Computed, not measured: a relaxed YTc2Ru crystal at the PBE level of DFT.

Summary:
Its distance to the lowest polymorph of the same formula is 0.27 eV per formula unit. As for the formation enthalpy at 0 K: 0.198 eV per atom. The final energy comes out at -8.920 eV/atom.

a = 6.4513 Å, b = 6.4513 Å, c = 6.4513 Å
α = 90.00°, β = 90.00°, γ = 90.00°
Space group F-43m (No. 216)
Unique sites:
Y (0.0000, 0.0000, 0.0000) (multiplicity 4)
Tc (0.0000, 0.0000, 0.5000) (multiplicity 4)
Tc (0.2500, 0.2500, 0.7500) (multiplicity 4)
Ru (0.2500, 0.2500, 0.2500) (multiplicity 4)

---

(7)
Computed, not measured: a relaxed YTc2Ru crystal at the PBE level of DFT.

Summary:
Its distance to the lowest polymorph of the same formula is 0.66 eV per formula unit. As for the formation enthalpy at 0 K: 0.295 eV per atom. The final energy comes out at -8.823 eV/atom.

a = 2.8489 Å, b = 2.8489 Å, c = 8.4127 Å
α = 90.00°, β = 90.00°, γ = 90.00°
Space group P4/mmm (No. 123)
Unique sites:
Y (0.0000, 0.0000, 0.0000) (multiplicity 1)
Tc (0.5000, 0.5000, 0.2880) (multiplicity 2)
Ru (0.0000, 0.0000, 0.5000) (multiplicity 1)

---

(8)
Computed, not measured: a relaxed YTc2Ru crystal at the PBE level of DFT.

Summary:
Its distance to the lowest polymorph of the same formula is 0.23 eV per formula unit. As for the formation enthalpy at 0 K: 0.188 eV per atom. The final energy comes out at -8.930 eV/atom.

a = 10.0863 Å, b = 3.0222 Å, c = 4.7799 Å
α = 90.00°, β = 106.74°, γ = 90.00°
Space group C2/m (No. 12)
Unique sites:
Y (0.0000, 0.0000, 0.0000) (multiplicity 2)
Tc (0.2240, 0.0000, 0.6956) (multiplicity 4)
Ru (0.0000, 0.5000, 0.5000) (multiplicity 2)

---

(9)
Computed, not measured: a relaxed Y2TcRu2 crystal at the PBE level of DFT.

Summary:
As for the formation enthalpy at 0 K: -0.120 eV per atom. The final energy comes out at -8.490 eV/atom.

a = 6.6093 Å, b = 6.6093 Å, c = 4.5843 Å
α = 90.00°, β = 90.00°, γ = 90.00°
Space group P4/mbm (No. 127)
Unique sites:
Y (0.1791, 0.3209, 0.0000) (multiplicity 4)
Tc (0.0000, 0.0000, 0.5000) (multiplicity 2)
Ru (0.1404, 0.6404, 0.5000) (multiplicity 4)

---

(10)
Computed, not measured: a relaxed YTc2Ru crystal at the PBE level of DFT.

Summary:
Its distance to the lowest polymorph of the same formula is 0.71 eV per formula unit. As for the formation enthalpy at 0 K: 0.307 eV per atom. The final energy comes out at -8.811 eV/atom.

a = 5.4000 Å, b = 9.1968 Å, c = 2.8572 Å
α = 90.00°, β = 109.07°, γ = 90.00°
Space group C2/m (No. 12)
Unique sites:
Y (0.0000, 0.0000, 0.0000) (multiplicity 2)
Tc (0.2500, 0.2500, 0.5000) (multiplicity 4)
Ru (0.0000, 0.5000, 0.0000) (multiplicity 2)

---

(11)
Computed, not measured: a relaxed YTc3Ru crystal at the PBE level of DFT.

Summary:
Its distance to the lowest polymorph of the same formula is 0.00 eV per formula unit. As for the formation enthalpy at 0 K: 1.011 eV per atom. The final energy comes out at -8.356 eV/atom.

a = 4.6873 Å, b = 4.6873 Å, c = 4.6873 Å
α = 90.00°, β = 90.00°, γ = 90.00°
Space group Pm-3m (No. 221)
Unique sites:
Y (0.0000, 0.0000, 0.0000) (multiplicity 1)
Tc (0.0000, 0.5000, 0.5000) (multiplicity 3)
Ru (0.5000, 0.5000, 0.5000) (multiplicity 1)

---

(12)
Computed, not measured: a relaxed YTcRu3 crystal at the PBE level of DFT.

Summary:
Its distance to the lowest polymorph of the same formula is 0.00 eV per formula unit. As for the formation enthalpy at 0 K: 0.748 eV per atom. The final energy comes out at -8.184 eV/atom.

a = 4.6632 Å, b = 4.6632 Å, c = 4.6632 Å
α = 90.00°, β = 90.00°, γ = 90.00°
Space group Pm-3m (No. 221)
Unique sites:
Y (0.0000, 0.0000, 0.0000) (multiplicity 1)
Tc (0.5000, 0.5000, 0.5000) (multiplicity 1)
Ru (0.0000, 0.5000, 0.5000) (multiplicity 3)